Entry 1:
This record from Alexandria describes a relaxed Ho12Er2Tl crystal. The functional is PBE-GGA.

CIF file:
```
data_Ho12Er2Tl
_cell_length_a 7.113
_cell_length_b 11.133
_cell_length_c 23.754
_cell_angle_alpha 90.00
_cell_angle_beta 97.87
_cell_angle_gamma 90.00
_symmetry_space_group_name_H-M 'C 1 2/m 1'
_symmetry_Int_Tables_number 12
_symmetry_space_group_name_Hall '-C 2y'
loop_
_atom_site_label
_atom_site_fract_x
_atom_site_fract_y
_atom_site_fract_z
Ho1 0.016 0.250 0.304
Ho2 0.041 0.000 0.373
Ho3 0.041 0.500 0.373
Ho4 0.046 0.250 0.827
Ho5 0.090 0.000 0.923
Ho6 0.091 0.500 0.923
Ho7 0.150 0.250 0.056
Ho8 0.172 0.250 0.569
Er1 0.231 0.000 0.234
Er2 0.231 0.500 0.234
Tl1 0.250 0.000 0.500
```

* DFT formation energy: 0.07 eV per atom
* N(E_F): 83.4 states/eV per cell
* total energy: -4.3558 eV/atom

---

Entry 2:
This record from Alexandria describes a relaxed Ho2Er3Tl3 crystal. The functional is PBE-GGA.

CIF file:
```
data_Ho2Er3Tl3
_cell_length_a 3.741
_cell_length_b 5.338
_cell_length_c 22.412
_cell_angle_alpha 90.00
_cell_angle_beta 90.00
_cell_angle_gamma 90.00
_symmetry_space_group_name_H-M 'I m m m'
_symmetry_Int_Tables_number 71
_symmetry_space_group_name_Hall '-I 2 2'
loop_
_atom_site_label
_atom_site_fract_x
_atom_site_fract_y
_atom_site_fract_z
Ho1 0.000 0.000 0.235
Er1 0.000 0.000 0.000
Er2 0.000 0.500 0.126
Tl1 0.000 0.000 0.500
Tl2 0.000 0.500 0.381
```

* DFT formation energy: -0.25 eV per atom
* N(E_F): 13.4 states/eV per cell
* total energy: -3.9938 eV/atom

---

Entry 3:
This record from Alexandria describes a relaxed Ho6ErTl5 crystal. The functional is PBE-GGA.

CIF file:
```
data_Ho6ErTl5
_cell_length_a 10.337
_cell_length_b 11.104
_cell_length_c 6.229
_cell_angle_alpha 90.00
_cell_angle_beta 102.68
_cell_angle_gamma 90.00
_symmetry_space_group_name_H-M 'C 1 2/m 1'
_symmetry_Int_Tables_number 12
_symmetry_space_group_name_Hall '-C 2y'
loop_
_atom_site_label
_atom_site_fract_x
_atom_site_fract_y
_atom_site_fract_z
Ho1 0.227 0.000 0.230
Ho2 0.230 0.175 0.740
Er1 0.000 0.500 0.000
Tl1 0.000 0.000 0.500
Tl2 0.000 0.196 0.000
Tl3 0.000 0.357 0.500
```

* DFT formation energy: -0.18 eV per atom
* N(E_F): 23.9 states/eV per cell
* total energy: -3.8328 eV/atom

---

Entry 4:
This record from Alexandria describes a relaxed Ho2ErTl4 crystal. The functional is PBE-GGA.

CIF file:
```
data_Ho2ErTl4
_cell_length_a 4.8621
_cell_length_b 4.8621
_cell_length_c 30.2017
_cell_angle_alpha 90.00
_cell_angle_beta 90.00
_cell_angle_gamma 120.00
_symmetry_space_group_name_H-M 'R -3 m'
_symmetry_Int_Tables_number 166
_symmetry_space_group_name_Hall '-R 3 2"'
loop_
_atom_site_label
_atom_site_fract_x
_atom_site_fract_y
_atom_site_fract_z
Ho1 0.0000 0.0000 0.1291
Er1 0.0000 0.0000 0.0000
Tl1 0.0000 0.0000 0.2430
Tl2 0.0000 0.0000 0.3814
```

* DFT formation energy: -0.05 eV per atom
* N(E_F): 14.2 states/eV per cell
* total energy: -3.3645 eV/atom

---

Entry 5:
This record from Alexandria describes a relaxed Ho9Er4Tl11 crystal. The functional is PBE-GGA.

CIF file:
```
data_Ho9Er4Tl11
_cell_length_a 16.097
_cell_length_b 22.868
_cell_length_c 3.567
_cell_angle_alpha 90.00
_cell_angle_beta 90.00
_cell_angle_gamma 90.00
_symmetry_space_group_name_H-M 'C m m m'
_symmetry_Int_Tables_number 65
_symmetry_space_group_name_Hall '-C 2 2'
loop_
_atom_site_label
_atom_site_fract_x
_atom_site_fract_y
_atom_site_fract_z
Ho1 0.000 0.000 0.000
Ho2 0.111 0.407 0.000
Ho3 0.114 0.228 0.000
Er1 0.166 0.081 0.000
Tl1 0.000 0.123 0.500
Tl2 0.000 0.314 0.500
Tl3 0.000 0.500 0.500
Tl4 0.215 0.500 0.500
Tl5 0.231 0.321 0.500
```

* DFT formation energy: -0.25 eV per atom
* N(E_F): 41.1 states/eV per cell
* total energy: -3.8100 eV/atom

---

Entry 6:
This record from Alexandria describes a relaxed Ho3ErTl2 crystal. The functional is PBE-GGA.

CIF file:
```
data_Ho3ErTl2
_cell_length_a 5.064
_cell_length_b 9.932
_cell_length_c 6.769
_cell_angle_alpha 90.00
_cell_angle_beta 90.00
_cell_angle_gamma 90.00
_symmetry_space_group_name_H-M 'P m c 21'
_symmetry_Int_Tables_number 26
_symmetry_space_group_name_Hall 'P 2c -2'
loop_
_atom_site_label
_atom_site_fract_x
_atom_site_fract_y
_atom_site_fract_z
Ho1 0.000 0.041 0.000
Ho2 0.000 0.313 0.373
Ho3 0.500 0.188 0.720
Er1 0.500 0.459 0.092
Tl1 0.000 0.366 0.839
Tl2 0.500 0.134 0.253
```

* DFT formation energy: -0.26 eV per atom
* N(E_F): 11.7 states/eV per cell
* total energy: -4.1015 eV/atom

---

Entry 7:
This record from Alexandria describes a relaxed Ho2Er5Tl5 crystal. The functional is PBE-GGA.

CIF file:
```
data_Ho2Er5Tl5
_cell_length_a 12.166
_cell_length_b 5.007
_cell_length_c 12.002
_cell_angle_alpha 90.00
_cell_angle_beta 110.13
_cell_angle_gamma 90.00
_symmetry_space_group_name_H-M 'C 1 2/m 1'
_symmetry_Int_Tables_number 12
_symmetry_space_group_name_Hall '-C 2y'
loop_
_atom_site_label
_atom_site_fract_x
_atom_site_fract_y
_atom_site_fract_z
Ho1 0.072 0.000 0.263
Er1 0.000 0.500 0.000
Er2 0.144 0.500 0.785
Er3 0.150 0.500 0.503
Tl1 0.000 0.000 0.500
Tl2 0.153 0.000 0.970
Tl3 0.235 0.500 0.283
```

* DFT formation energy: -0.20 eV per atom
* N(E_F): 20.8 states/eV per cell
* total energy: -3.8489 eV/atom

---

Entry 8:
This record from Alexandria describes a relaxed Ho5Er2Tl4 crystal. The functional is PBE-GGA.

CIF file:
```
data_Ho5Er2Tl4
_cell_length_a 3.449
_cell_length_b 8.589
_cell_length_c 28.600
_cell_angle_alpha 90.00
_cell_angle_beta 90.00
_cell_angle_gamma 90.00
_symmetry_space_group_name_H-M 'I m m m'
_symmetry_Int_Tables_number 71
_symmetry_space_group_name_Hall '-I 2 2'
loop_
_atom_site_label
_atom_site_fract_x
_atom_site_fract_y
_atom_site_fract_z
Ho1 0.000 0.000 0.000
Ho2 0.000 0.303 0.299
Er1 0.000 0.500 0.403
Tl1 0.000 0.181 0.500
Tl2 0.000 0.500 0.196
```

* DFT formation energy: 0.34 eV per atom
* N(E_F): 27.8 states/eV per cell
* total energy: -3.4281 eV/atom

---

Entry 9:
This record from Alexandria describes a relaxed Ho2Er12Tl crystal. The functional is PBE-GGA.

CIF file:
```
data_Ho2Er12Tl
_cell_length_a 7.093
_cell_length_b 11.085
_cell_length_c 23.694
_cell_angle_alpha 90.00
_cell_angle_beta 97.96
_cell_angle_gamma 90.00
_symmetry_space_group_name_H-M 'C 1 2/m 1'
_symmetry_Int_Tables_number 12
_symmetry_space_group_name_Hall '-C 2y'
loop_
_atom_site_label
_atom_site_fract_x
_atom_site_fract_y
_atom_site_fract_z
Ho1 0.234 0.000 0.234
Ho2 0.234 0.500 0.234
Er1 0.020 0.250 0.304
Er2 0.044 0.250 0.827
Er3 0.045 0.000 0.373
Er4 0.045 0.500 0.373
Er5 0.089 0.000 0.923
Er6 0.090 0.500 0.924
Er7 0.151 0.250 0.056
Er8 0.169 0.250 0.569
Tl1 0.250 0.000 0.500
```

* DFT formation energy: 0.07 eV per atom
* N(E_F): 81.9 states/eV per cell
* total energy: -4.3455 eV/atom

---

Entry 10:
This record from Alexandria describes a relaxed Ho2Er2Tl5 crystal. The functional is PBE-GGA.

CIF file:
```
data_Ho2Er2Tl5
_cell_length_a 15.941
_cell_length_b 8.017
_cell_length_c 8.144
_cell_angle_alpha 90.00
_cell_angle_beta 90.00
_cell_angle_gamma 90.00
_symmetry_space_group_name_H-M 'C m c e'
_symmetry_Int_Tables_number 64
_symmetry_space_group_name_Hall '-C 2ac 2'
loop_
_atom_site_label
_atom_site_fract_x
_atom_site_fract_y
_atom_site_fract_z
Ho1 0.000 0.152 0.156
Er1 0.199 0.000 0.500
Tl1 0.000 0.000 0.500
Tl2 0.138 0.149 0.853
```

* DFT formation energy: -0.16 eV per atom
* N(E_F): 25.1 states/eV per cell
* total energy: -3.5059 eV/atom

---

Entry 11:
This record from Alexandria describes a relaxed Ho2ErTl3 crystal. The functional is PBE-GGA.

CIF file:
```
data_Ho2ErTl3
_cell_length_a 3.641
_cell_length_b 3.641
_cell_length_c 12.214
_cell_angle_alpha 90.00
_cell_angle_beta 90.00
_cell_angle_gamma 90.00
_symmetry_space_group_name_H-M 'P 4/m m m'
_symmetry_Int_Tables_number 123
_symmetry_space_group_name_Hall '-P 4 2'
loop_
_atom_site_label
_atom_site_fract_x
_atom_site_fract_y
_atom_site_fract_z
Ho1 0.000 0.000 0.167
Er1 0.000 0.000 0.500
Tl1 0.500 0.500 0.000
Tl2 0.500 0.500 0.334
```

* DFT formation energy: -0.33 eV per atom
* N(E_F): 4.4 states/eV per cell
* total energy: -3.7967 eV/atom

---

Entry 12:
This record from Alexandria describes a relaxed Ho3Er2Tl2 crystal. The functional is PBE-GGA.

CIF file:
```
data_Ho3Er2Tl2
_cell_length_a 4.983
_cell_length_b 23.276
_cell_length_c 3.472
_cell_angle_alpha 90.00
_cell_angle_beta 90.00
_cell_angle_gamma 90.00
_symmetry_space_group_name_H-M 'C m m m'
_symmetry_Int_Tables_number 65
_symmetry_space_group_name_Hall '-C 2 2'
loop_
_atom_site_label
_atom_site_fract_x
_atom_site_fract_y
_atom_site_fract_z
Ho1 0.000 0.000 0.000
Ho2 0.000 0.147 0.000
Er1 0.000 0.286 0.500
Tl1 0.000 0.427 0.500
```

* DFT formation energy: -0.08 eV per atom
* N(E_F): 11.3 states/eV per cell
* total energy: -4.0223 eV/atom

---

Entry 13:
This record from Alexandria describes a relaxed Ho7Er3Tl crystal. The functional is PBE-GGA.

CIF file:
```
data_Ho7Er3Tl
_cell_length_a 6.9166
_cell_length_b 6.9166
_cell_length_c 8.4512
_cell_angle_alpha 90.00
_cell_angle_beta 90.00
_cell_angle_gamma 120.00
_symmetry_space_group_name_H-M 'P 3 m 1'
_symmetry_Int_Tables_number 156
_symmetry_space_group_name_Hall 'P 3 -2"'
loop_
_atom_site_label
_atom_site_fract_x
_atom_site_fract_y
_atom_site_fract_z
Ho1 0.0000 0.0000 0.0000
Ho2 0.1634 0.3269 0.6645
Ho3 0.5012 0.0023 0.9899
Er1 0.3306 0.1653 0.3271
Tl1 0.6667 0.3333 0.6603
```

* DFT formation energy: 0.15 eV per atom
* N(E_F): 15.4 states/eV per cell
* total energy: -4.2186 eV/atom

---

Entry 14:
This record from Alexandria describes a relaxed Ho2Er3Tl crystal. The functional is PBE-GGA.

CIF file:
```
data_Ho2Er3Tl
_cell_length_a 5.713
_cell_length_b 6.390
_cell_length_c 10.083
_cell_angle_alpha 90.00
_cell_angle_beta 90.00
_cell_angle_gamma 90.00
_symmetry_space_group_name_H-M 'I m m m'
_symmetry_Int_Tables_number 71
_symmetry_space_group_name_Hall '-I 2 2'
loop_
_atom_site_label
_atom_site_fract_x
_atom_site_fract_y
_atom_site_fract_z
Ho1 0.000 0.000 0.182
Er1 0.000 0.500 0.156
Er2 0.000 0.500 0.500
Tl1 0.000 0.000 0.500
```

* DFT formation energy: 0.26 eV per atom
* N(E_F): 17.4 states/eV per cell
* total energy: -3.9400 eV/atom

---

Entry 15:
This record from Alexandria describes a relaxed Ho6ErTl4 crystal. The functional is PBE-GGA.

CIF file:
```
data_Ho6ErTl4
_cell_length_a 6.354
_cell_length_b 6.354
_cell_length_c 16.619
_cell_angle_alpha 90.00
_cell_angle_beta 90.00
_cell_angle_gamma 90.00
_symmetry_space_group_name_H-M 'I -4 2 m'
_symmetry_Int_Tables_number 121
_symmetry_space_group_name_Hall 'I -4 2'
loop_
_atom_site_label
_atom_site_fract_x
_atom_site_fract_y
_atom_site_fract_z
Ho1 0.000 0.500 0.000
Ho2 0.236 0.236 0.180
Er1 0.000 0.000 0.500
Tl1 0.243 0.243 0.365
```

* DFT formation energy: -0.12 eV per atom
* N(E_F): 20.5 states/eV per cell
* total energy: -3.8912 eV/atom

---

Entry 16:
This record from Alexandria describes a relaxed Ho2Er5Tl4 crystal. The functional is PBE-GGA.

CIF file:
```
data_Ho2Er5Tl4
_cell_length_a 5.170
_cell_length_b 10.528
_cell_length_c 13.225
_cell_angle_alpha 90.00
_cell_angle_beta 90.00
_cell_angle_gamma 90.00
_symmetry_space_group_name_H-M 'I m m m'
_symmetry_Int_Tables_number 71
_symmetry_space_group_name_Hall '-I 2 2'
loop_
_atom_site_label
_atom_site_fract_x
_atom_site_fract_y
_atom_site_fract_z
Ho1 0.000 0.000 0.169
Er1 0.000 0.344 0.218
Er2 0.000 0.500 0.500
Tl1 0.000 0.000 0.391
Tl2 0.000 0.210 0.000
```

* DFT formation energy: 0.14 eV per atom
* N(E_F): 21.8 states/eV per cell
* total energy: -3.6290 eV/atom

---

Entry 17:
This record from Alexandria describes a relaxed Ho2Er6Tl crystal. The functional is PBE-GGA.

CIF file:
```
data_Ho2Er6Tl
_cell_length_a 5.014
_cell_length_b 22.532
_cell_length_c 9.902
_cell_angle_alpha 90.00
_cell_angle_beta 90.00
_cell_angle_gamma 90.00
_symmetry_space_group_name_H-M 'I m m a'
_symmetry_Int_Tables_number 74
_symmetry_space_group_name_Hall '-I 2b 2'
loop_
_atom_site_label
_atom_site_fract_x
_atom_site_fract_y
_atom_site_fract_z
Ho1 0.000 0.053 0.128
Er1 0.000 0.057 0.621
Er2 0.000 0.162 0.885
Er3 0.000 0.167 0.368
Tl1 0.000 0.250 0.627
```

* DFT formation energy: 0.03 eV per atom
* N(E_F): 49.3 states/eV per cell
* total energy: -4.2965 eV/atom

---

Entry 18:
This record from Alexandria describes a relaxed HoEr3Tl crystal. The functional is PBE-GGA.

CIF file:
```
data_HoEr3Tl
_cell_length_a 14.468
_cell_length_b 13.056
_cell_length_c 6.482
_cell_angle_alpha 90.00
_cell_angle_beta 103.99
_cell_angle_gamma 90.00
_symmetry_space_group_name_H-M 'C 1 2/c 1'
_symmetry_Int_Tables_number 15
_symmetry_space_group_name_Hall '-C 2yc'
loop_
_atom_site_label
_atom_site_fract_x
_atom_site_fract_y
_atom_site_fract_z
Ho1 0.105 0.067 0.462
Er1 0.097 0.189 0.977
Er2 0.189 0.312 0.641
Er3 0.198 0.427 0.142
Tl1 0.000 0.333 0.250
Tl2 0.000 0.417 0.750
```

* DFT formation energy: -0.04 eV per atom
* N(E_F): 51.7 states/eV per cell
* total energy: -4.1660 eV/atom